(1)
CuAgPO4 | PBEsol | relaxed

```
data_CuAgPO4
_chemical_formula_sum 'Cu8 Ag8 P8 O32'
_cell_length_a 5.502
_cell_length_b 7.622
_cell_length_c 15.754
_cell_angle_alpha 90.00
_cell_angle_beta 90.00
_cell_angle_gamma 90.00
_space_group_name_H-M_alt 'P b c a'
_space_group_IT_number 61
_space_group_name_Hall '-P 2ac 2ab'
loop_
_atom_site_label
_atom_site_fract_x
_atom_site_fract_y
_atom_site_fract_z
_atom_site_occupancy
Cu1 0.111 0.185 0.021 1
Ag1 0.119 0.669 0.715 1
P1 0.095 0.014 0.387 1
O1 0.050 0.161 0.615 1
O2 0.051 0.654 0.061 1
O3 0.125 0.081 0.296 1
O4 0.152 0.014 0.931 1
```

Output
Its density of states at the Fermi level is 5.90 states/eV/cell. Its volume is 660.7 Å³ per cell. The uncorrected formation energy is -8.922 eV/f.u. The value obtained for the relative energy among the computed polymorphs is 0.02 eV/f.u.

=====

(2)
Rb6CuAgO4 | PBEsol | relaxed

```
data_Rb6CuAgO4
_chemical_formula_sum 'Rb24 Cu4 Ag4 O16'
_cell_length_a 8.965
_cell_length_b 8.965
_cell_length_c 13.895
_cell_angle_alpha 90.00
_cell_angle_beta 90.00
_cell_angle_gamma 90.00
_space_group_name_H-M_alt 'P 41'
_space_group_IT_number 76
_space_group_name_Hall 'P 4w'
loop_
_atom_site_label
_atom_site_fract_x
_atom_site_fract_y
_atom_site_fract_z
_atom_site_occupancy
Rb1 0.023 0.471 0.247 1
Rb2 0.036 0.066 0.248 1
Rb3 0.056 0.556 0.000 1
Rb4 0.135 0.764 0.388 1
Rb5 0.267 0.666 0.603 1
Rb6 0.440 0.465 0.251 1
Cu1 0.235 0.263 0.083 1
Ag1 0.238 0.264 0.416 1
O1 0.034 0.262 0.081 1
O2 0.041 0.766 0.171 1
O3 0.238 0.488 0.416 1
O4 0.266 0.565 0.831 1
```

Output
Its volume is 1116.9 Å³ per cell. The uncorrected formation energy is -11.540 eV/f.u.

=====

(3)
Cu2AgS2O10 | PBEsol | relaxed

```
data_Cu2AgS2O10
_chemical_formula_sum 'Cu4 Ag2 S4 O20'
_cell_length_a 7.618
_cell_length_b 6.246
_cell_length_c 7.816
_cell_angle_alpha 90.00
_cell_angle_beta 111.08
_cell_angle_gamma 90.00
_space_group_name_H-M_alt 'C 1 2/m 1'
_space_group_IT_number 12
_space_group_name_Hall '-C 2y'
loop_
_atom_site_label
_atom_site_fract_x
_atom_site_fract_y
_atom_site_fract_z
_atom_site_occupancy
Cu1 0.250 0.250 0.000 1
Ag1 0.000 0.000 0.500 1
S1 0.066 0.500 0.275 1
O1 0.054 0.304 0.759 1
O2 0.093 0.000 0.046 1
O3 0.167 0.500 0.141 1
O4 0.200 0.500 0.464 1
```

Output
Its density of states at the Fermi level is 15.64 states/eV/cell. Its volume is 347.0 Å³ per cell. The uncorrected formation energy is -12.723 eV/f.u.